A plane-wave DFT calculation with PBE was carried out for an optimized crystal structure of LaAl2Co.

Lattice parameters (Å, degrees): 6.061 6.061 6.061 39.86 39.86 39.86
Element x y z (fractional)
La 0.000 0.000 0.000
Al 0.202 0.202 0.202
Al 0.798 0.798 0.798
Co 0.500 0.500 0.500

Calculated values
Formation energy from the elements = -0.391 eV per atom
Total magnetic moment = 0.000 μB/atom

***

A plane-wave DFT calculation with PBE was carried out for an optimized crystal structure of K4Ho3SbSe8.

Lattice parameters (Å, degrees): 9.083 9.083 9.083 55.30 55.30 55.30
Element x y z (fractional)
K 0.000 0.000 0.000
K 0.000 0.500 0.500
K 0.500 0.000 0.500
K 0.500 0.500 0.000
Ho 0.000 0.000 0.500
Ho 0.000 0.500 0.000
Ho 0.500 0.000 0.000
Sb 0.500 0.500 0.500
Se 0.232 0.736 0.736
Se 0.235 0.235 0.235
Se 0.264 0.264 0.768
Se 0.264 0.768 0.264
Se 0.736 0.232 0.736
Se 0.736 0.736 0.232
Se 0.765 0.765 0.765
Se 0.768 0.264 0.264

Calculated values
Total magnetic moment = 0.000 μB/atom
Formation energy from raw total energies = -144 kJ per mole of atoms

***

A plane-wave DFT calculation with PBE was carried out for an optimized crystal structure of Nd3Zn8Cd3.

Lattice parameters (Å, degrees): 8.572 8.572 8.572 149.17 115.45 73.23
Element x y z (fractional)
Nd 0.000 0.000 0.000
Nd 0.297 0.297 0.000
Nd 0.703 0.703 0.000
Zn 0.030 0.665 0.365
Zn 0.122 0.852 0.271
Zn 0.301 0.665 0.635
Zn 0.419 0.148 0.271
Zn 0.581 0.852 0.729
Zn 0.699 0.335 0.365
Zn 0.878 0.148 0.729
Zn 0.970 0.335 0.635
Cd 0.295 0.500 0.795
Cd 0.500 0.000 0.500
Cd 0.705 0.500 0.205

Calculated values
Formation energy from the elements = -0.319 eV per atom
Total magnetic moment = 0.000 μB/atom

***

A plane-wave DFT calculation with PBE was carried out for an optimized crystal structure of UAlSb2.

Lattice parameters (Å, degrees): 4.738 4.738 4.101 90.00 90.00 90.00
Element x y z (fractional)
U 0.000 0.000 0.000
Al 0.500 0.500 0.000
Sb 0.000 0.500 0.500
Sb 0.500 0.000 0.500

Calculated values
Total magnetic moment = 0.398 μB/atom
Formation energy from raw total energies = -18 kJ per mole of atoms

***

A plane-wave DFT calculation with PBE was carried out for an optimized crystal structure of Sc3GaCo.

Lattice parameters (Å, degrees): 4.769 4.769 4.769 90.00 90.00 90.00
Element x y z (fractional)
Sc 0.000 0.000 0.500
Sc 0.000 0.500 0.000
Sc 0.500 0.000 0.000
Ga 0.500 0.500 0.500
Co 0.000 0.000 0.000

Calculated values
Formation energy from the elements = -0.122 eV per atom
Total magnetic moment = 0.000 μB/atom

***

A plane-wave DFT calculation with PBE was carried out for an optimized crystal structure of La6In3Rh.

Lattice parameters (Å, degrees): 5.655 9.521 12.993 90.00 115.80 90.00
Element x y z (fractional)
La 0.053 0.188 0.056
La 0.053 0.312 0.556
La 0.242 0.507 0.234
La 0.242 0.993 0.734
La 0.425 0.155 0.436
La 0.425 0.345 0.936
La 0.575 0.655 0.064
La 0.575 0.845 0.564
La 0.758 0.007 0.266
La 0.758 0.493 0.766
La 0.947 0.688 0.444
La 0.947 0.812 0.944
In 0.239 0.657 0.746
In 0.239 0.843 0.246
In 0.500 0.000 0.000
In 0.500 0.500 0.500
In 0.761 0.157 0.754
In 0.761 0.343 0.254
Rh 0.000 0.000 0.500
Rh 0.000 0.500 0.000

Calculated values
Formation energy from the elements = -0.430 eV per atom
Total magnetic moment = 0.000 μB/atom

***

A plane-wave DFT calculation with PBE was carried out for an optimized crystal structure of SiAgB2N.

Lattice parameters (Å, degrees): 3.856 3.856 5.113 90.00 90.00 90.00
Element x y z (fractional)
Si 0.000 0.000 0.000
Ag 0.000 0.000 0.500
B 0.000 0.500 0.000
B 0.500 0.000 0.000
N 0.500 0.500 0.500

Calculated values
Total magnetic moment = 0.361 μB/atom
Formation energy from raw total energies = 197 kJ per mole of atoms

***

A plane-wave DFT calculation with PBE was carried out for an optimized crystal structure of BeAsIr2.

Lattice parameters (Å, degrees): 2.763 2.763 8.409 90.00 90.00 119.33
Element x y z (fractional)
Be 0.000 0.000 0.000
As 0.000 0.000 0.500
Ir 0.500 0.500 0.216
Ir 0.500 0.500 0.784

Calculated values
Formation energy from the elements = 0.078 eV per atom
Total magnetic moment = 0.000 μB/atom

***

A plane-wave DFT calculation with PBE was carried out for an optimized crystal structure of Ca3YTh2Sb6.

Lattice parameters (Å, degrees): 7.827 7.827 7.812 99.61 99.61 119.99
Element x y z (fractional)
Ca 0.000 0.000 0.000
Ca 0.332 0.668 0.000
Ca 0.668 0.332 0.000
Y 0.500 0.500 0.500
Th 0.166 0.834 0.500
Th 0.834 0.166 0.500
Sb 0.089 0.419 0.257
Sb 0.252 0.252 0.745
Sb 0.419 0.089 0.257
Sb 0.581 0.911 0.743
Sb 0.748 0.748 0.255
Sb 0.911 0.581 0.743

Calculated values
Total magnetic moment = 0.000 μB/atom
Formation energy from raw total energies = -94 kJ per mole of atoms

***

A plane-wave DFT calculation with PBE was carried out for an optimized crystal structure of Er2AsCl2.

Lattice parameters (Å, degrees): 12.199 12.199 12.199 18.77 18.77 18.77
Element x y z (fractional)
Er 0.123 0.123 0.123
Er 0.877 0.877 0.877
As 0.500 0.500 0.500
Cl 0.255 0.255 0.255
Cl 0.745 0.745 0.745

Calculated values
Total magnetic moment = 0.000 μB/atom
Formation energy from raw total energies = -179 kJ per mole of atoms

***

A plane-wave DFT calculation with PBE was carried out for an optimized crystal structure of Ho2ErCo.

Lattice parameters (Å, degrees): 3.663 9.241 6.203 90.00 107.15 90.00
Element x y z (fractional)
Ho 0.140 0.071 0.280
Ho 0.140 0.429 0.280
Ho 0.860 0.571 0.720
Ho 0.860 0.929 0.720
Er 0.416 0.250 0.832
Er 0.584 0.750 0.168
Co 0.252 0.750 0.504
Co 0.748 0.250 0.496

Calculated values
Formation energy from the elements = -0.152 eV per atom
Total magnetic moment = 0.000 μB/atom

***

A plane-wave DFT calculation with PBE was carried out for an optimized crystal structure of BaIn2Cl.

Lattice parameters (Å, degrees): 10.454 10.454 10.454 21.05 21.05 21.05
Element x y z (fractional)
Ba 0.000 0.000 0.000
In 0.239 0.239 0.239
In 0.761 0.761 0.761
Cl 0.500 0.500 0.500

Calculated values
Total magnetic moment = 0.000 μB/atom
Formation energy from raw total energies = -29 kJ per mole of atoms

***

A plane-wave DFT calculation with PBE was carried out for an optimized crystal structure of La3Nd8Ho4.

Lattice parameters (Å, degrees): 9.324 9.324 6.962 111.15 111.15 83.01
Element x y z (fractional)
La 0.000 0.000 0.000
La 0.000 0.500 0.500
La 0.500 0.000 0.500
Nd 0.203 0.203 0.667
Nd 0.206 0.794 0.500
Nd 0.252 0.748 0.000
Nd 0.254 0.254 0.188
Nd 0.746 0.746 0.812
Nd 0.748 0.252 0.000
Nd 0.794 0.206 0.500
Nd 0.797 0.797 0.333
Ho 0.000 0.500 0.000
Ho 0.500 0.000 0.000
Ho 0.500 0.500 0.000
Ho 0.500 0.500 0.500

Calculated values
Formation energy from the elements = 0.319 eV per atom
Total magnetic moment = 0.000 μB/atom

***

A plane-wave DFT calculation with PBE was carried out for an optimized crystal structure of Na2BeAlO.

Lattice parameters (Å, degrees): 5.556 5.556 4.326 90.00 90.00 90.00
Element x y z (fractional)
Na 0.000 0.500 0.000
Na 0.500 0.000 0.000
Be 0.000 0.000 0.500
Al 0.000 0.000 0.000
O 0.500 0.500 0.500

Calculated values
Total magnetic moment = 0.000 μB/atom
Formation energy from raw total energies = 74 kJ per mole of atoms

***

A plane-wave DFT calculation with PBE was carried out for an optimized crystal structure of Be2MoS.

Lattice parameters (Å, degrees): 5.060 5.060 5.060 103.59 103.59 122.00
Element x y z (fractional)
Be 0.074 0.625 0.949
Be 0.375 0.324 0.449
Be 0.676 0.125 0.051
Be 0.875 0.926 0.551
Mo 0.250 0.750 0.500
Mo 0.500 0.500 0.000
S 0.000 0.000 0.000
S 0.750 0.250 0.500

Calculated values
Total magnetic moment = 0.000 μB/atom
Formation energy from raw total energies = 24 kJ per mole of atoms

***

A plane-wave DFT calculation with PBE was carried out for an optimized crystal structure of GaSnI3.

Lattice parameters (Å, degrees): 5.705 5.705 5.705 90.00 90.00 90.00
Element x y z (fractional)
Ga 0.000 0.000 0.000
Sn 0.500 0.500 0.500
I 0.000 0.000 0.500
I 0.000 0.500 0.000
I 0.500 0.000 0.000

Calculated values
Total magnetic moment = 0.065 μB/atom
Formation energy from raw total energies = -1 kJ per mole of atoms

***

A plane-wave DFT calculation with PBE was carried out for an optimized crystal structure of PrNdPb.

Lattice parameters (Å, degrees): 7.892 7.892 7.892 153.14 153.14 38.36
Element x y z (fractional)
Pr 0.000 0.000 0.000
Nd 0.304 0.304 0.000
Pb 0.653 0.653 0.000

Calculated values
Formation energy from the elements = -0.286 eV per atom
Total magnetic moment = 0.000 μB/atom

***

A plane-wave DFT calculation with PBE was carried out for an optimized crystal structure of KBi4.

Lattice parameters (Å, degrees): 5.901 5.901 5.901 90.00 90.00 90.00
Element x y z (fractional)
K 0.000 0.000 0.000
Bi 0.000 0.000 0.500
Bi 0.000 0.500 0.000
Bi 0.500 0.000 0.000
Bi 0.500 0.500 0.500

Calculated values
Formation energy from the elements = 1.114 eV per atom
Total magnetic moment = 0.121 μB/atom

***

A plane-wave DFT calculation with PBE was carried out for an optimized crystal structure of Zr6Tc5Au.

Lattice parameters (Å, degrees): 8.088 8.088 4.690 106.78 106.78 48.62
Element x y z (fractional)
Zr 0.073 0.585 0.329
Zr 0.238 0.762 0.000
Zr 0.415 0.927 0.671
Zr 0.585 0.073 0.329
Zr 0.762 0.238 0.000
Zr 0.927 0.415 0.671
Tc 0.000 0.000 0.500
Tc 0.167 0.167 0.167
Tc 0.335 0.335 0.835
Tc 0.665 0.665 0.165
Tc 0.833 0.833 0.833
Au 0.500 0.500 0.500

Calculated values
Formation energy from the elements = -0.421 eV per atom
Total magnetic moment = 0.000 μB/atom

***

A plane-wave DFT calculation with PBE was carried out for an optimized crystal structure of CaBeZnAs2.

Lattice parameters (Å, degrees): 4.788 4.788 5.485 90.00 90.00 90.00
Element x y z (fractional)
Ca 0.000 0.000 0.000
Be 0.500 0.500 0.000
Zn 0.000 0.000 0.500
As 0.000 0.500 0.500
As 0.500 0.000 0.500

Calculated values
Formation energy from the elements = 0.627 eV per atom
Total magnetic moment = 0.000 μB/atom

***

A plane-wave DFT calculation with PBE was carried out for an optimized crystal structure of ZrMnReW.

Lattice parameters (Å, degrees): 4.468 4.468 4.468 60.00 60.00 60.00
Element x y z (fractional)
Zr 0.000 0.000 0.000
Mn 0.250 0.250 0.250
Re 0.750 0.750 0.750
W 0.500 0.500 0.500

Calculated values
Formation energy from the elements = -0.074 eV per atom
Total magnetic moment = 0.000 μB/atom

***

A plane-wave DFT calculation with PBE was carried out for an optimized crystal structure of Li2Dy2In3.

Lattice parameters (Å, degrees): 11.262 11.262 3.254 90.00 90.00 156.72
Element x y z (fractional)
Li 0.219 0.781 0.000
Li 0.781 0.219 0.000
Dy 0.079 0.921 0.000
Dy 0.921 0.079 0.000
In 0.339 0.661 0.500
In 0.500 0.500 0.500
In 0.661 0.339 0.500

Calculated values
Formation energy from the elements = -0.332 eV per atom
Total magnetic moment = 0.057 μB/atom

***

A plane-wave DFT calculation with PBE was carried out for an optimized crystal structure of TlCdNiPb2.

Lattice parameters (Å, degrees): 5.206 5.206 5.147 90.00 90.00 90.00
Element x y z (fractional)
Tl 0.000 0.000 0.000
Cd 0.500 0.500 0.000
Ni 0.000 0.000 0.500
Pb 0.000 0.500 0.500
Pb 0.500 0.000 0.500

Calculated values
Formation energy from the elements = 0.143 eV per atom
Total magnetic moment = 0.000 μB/atom

***

A plane-wave DFT calculation with PBE was carried out for an optimized crystal structure of Sc3PtSe.

Lattice parameters (Å, degrees): 5.075 5.075 5.075 90.00 90.00 90.00
Element x y z (fractional)
Sc 0.000 0.000 0.500
Sc 0.000 0.500 0.000
Sc 0.500 0.000 0.000
Pt 0.000 0.000 0.000
Se 0.500 0.500 0.500

Calculated values
Total magnetic moment = 0.000 μB/atom
Formation energy from raw total energies = -53 kJ per mole of atoms

***

A plane-wave DFT calculation with PBE was carried out for an optimized crystal structure of AlIn2O.

Lattice parameters (Å, degrees): 3.122 3.124 9.861 88.35 87.94 60.06
Element x y z (fractional)
Al 0.000 0.000 0.000
In 0.306 0.325 0.567
In 0.977 0.980 0.280
O 0.339 0.336 0.941

Calculated values
Total magnetic moment = 0.000 μB/atom
Formation energy from raw total energies = -94 kJ per mole of atoms